# 1
This record from the Alexandria database describes a relaxed structure of ZrV. The functional is PBE. Values from VASP.

Computed properties:
- Calculated volume: 18.66 Å³ per atom
- Space group: No. 221
- Calculated formation energy: 0.1893 eV/atom
- Magnetic moment: 2.1 μB/f.u.

```
&SYSTEM
  ibrav = 0, nat = 2, ntyp = 2
/
ATOMIC_SPECIES
Zr 91.22 Zr.upf
V 50.94 V.upf
CELL_PARAMETERS angstrom
3.3421 0.0000 0.0000
0.0000 3.3421 0.0000
0.0000 0.0000 3.3421
ATOMIC_POSITIONS crystal
Zr 0.0000 0.0000 0.0000
V 0.5000 0.5000 0.5000
```

***

# 2
This record from the Alexandria database describes a relaxed structure of ZrV. The functional is PBE. Values from VASP.

Computed properties:
- Calculated volume: 19.69 Å³ per atom
- Space group: No. 136
- Calculated formation energy: 0.7324 eV/atom
- Magnetic moment: 0.0 μB/f.u.

```
&SYSTEM
  ibrav = 0, nat = 8, ntyp = 2
/
ATOMIC_SPECIES
V 50.94 V.upf
Zr 91.22 Zr.upf
CELL_PARAMETERS angstrom
-0.8746 -3.5671 -3.9119
-0.0609 -3.9579 3.6227
-5.3980 0.6474 0.6165
ATOMIC_POSITIONS crystal
V 0.8344 0.8344 0.5000
V 0.6656 0.3344 0.0000
V 0.1656 0.1656 0.5000
V 0.3344 0.6656 0.0000
Zr 0.3096 0.6904 0.5000
Zr 0.8096 0.8096 0.0000
Zr 0.1904 0.1904 0.0000
Zr 0.6904 0.3096 0.5000
```